Material: La4TbTm
Method: DFT, PBE-GGA
State: optimized geometry

Cell lengths 10.8915, 6.3773, 6.3761 Å; angles 109.69, 90.00, 90.00 degrees
With the nearest neighbours (Å) after each atom.
Fractional coordinates of all 12 atoms:
La (0.1699, 0.0010, 0.5007)  3 Tb 3.60-3.69, 7 La 3.63-3.70, 2 Tm 3.68-3.69
La (0.3301, 0.5010, 0.5007)  3 Tb 3.60-3.69, 7 La 3.63-3.70, 2 Tm 3.68-3.69
La (0.8289, 0.4991, 0.9993)  3 Tm 3.58-3.70, 7 La 3.62-3.73, 2 Tb 3.69-3.70
La (0.3289, 0.0009, 0.0007)  3 Tm 3.58-3.70, 7 La 3.62-3.73, 2 Tb 3.69-3.70
La (0.6711, 0.9991, 0.9993)  3 Tm 3.58-3.70, 7 La 3.62-3.73, 2 Tb 3.69-3.70
La (0.1711, 0.5009, 0.0007)  3 Tm 3.58-3.70, 7 La 3.62-3.73, 2 Tb 3.69-3.70
La (0.6699, 0.4990, 0.4993)  3 Tb 3.60-3.69, 7 La 3.63-3.70, 2 Tm 3.68-3.69
La (0.8301, 0.9990, 0.4993)  3 Tb 3.60-3.69, 7 La 3.63-3.70, 2 Tm 3.68-3.69
Tb (0.0000, 0.5000, 0.5000)  10 La 3.60-3.70, 2 Tm 3.67
Tb (0.5000, 0.0000, 0.5000)  10 La 3.60-3.70, 2 Tm 3.67
Tm (0.5000, 0.5000, 0.0000)  10 La 3.58-3.70, 2 Tb 3.67
Tm (0.0000, 0.0000, 0.0000)  10 La 3.58-3.70, 2 Tb 3.67

Output
ΔE to the lowest computed polymorph = 0.000 eV per atom
DFT formation energy = 20 meV/atom

=====

Material: La4Tb5Tm
Method: DFT, PBE-GGA
State: optimized geometry

Cell lengths 6.1265, 8.1522, 8.1522 Å; angles 81.88, 67.93, 67.93 degrees
With the nearest neighbours (Å) after each atom.
Fractional coordinates of all 10 atoms:
La (0.4335, 0.3226, 0.6774)  2 Tb 3.34, 1 Tm 3.68
La (0.7561, 0.6774, 0.6774)  2 Tb 3.34, 1 Tm 3.68
La (0.1109, 0.3226, 0.3226)  2 Tb 3.34, 1 Tm 3.68
La (0.4335, 0.6774, 0.3226)  2 Tb 3.34, 1 Tm 3.68
Tb (0.7760, 0.3767, 0.0000)  1 Tm 3.25, 3 Tb 3.28-3.58, 2 La 3.34
Tb (0.1528, 0.0000, 0.6233)  1 Tm 3.25, 3 Tb 3.28-3.58, 2 La 3.34
Tb (0.7760, 0.0000, 0.3767)  1 Tm 3.25, 3 Tb 3.28-3.58, 2 La 3.34
Tb (0.1528, 0.6233, 0.0000)  1 Tm 3.25, 3 Tb 3.28-3.58, 2 La 3.34
Tb (0.6979, 0.0000, 0.0000)  2 Tm 2.92-3.20
Tm (0.2209, 0.0000, 0.0000)  6 Tb 2.92-3.25

Output
ΔE to the lowest computed polymorph = 0.032 eV per atom
DFT formation energy = 219 meV/atom

=====

Material: La11Tb4Tm9
Method: DFT, PBE-GGA
State: optimized geometry

Cell lengths 3.7016, 15.4887, 15.4887 Å; angles 113.13, 90.00, 90.00 degrees
With the nearest neighbours (Å) after each atom.
Fractional coordinates of all 24 atoms:
La (0.0000, 0.5952, 0.9572)  2 Tb 3.44, 6 Tm 3.58-3.77, 3 La 3.68-3.70
La (0.0000, 0.4048, 0.0428)  2 Tb 3.44, 6 Tm 3.58-3.77, 3 La 3.68-3.70
La (0.0000, 0.9572, 0.5952)  2 Tb 3.44, 6 Tm 3.58-3.77, 3 La 3.68-3.70
La (0.0000, 0.0428, 0.4048)  2 Tb 3.44, 6 Tm 3.58-3.77, 3 La 3.68-3.70
La (0.0000, 0.6318, 0.3682)  4 Tb 3.35, 4 Tm 3.63, 2 La 3.70
La (0.0000, 0.3682, 0.6318)  4 Tb 3.35, 4 Tm 3.63, 2 La 3.70
La (0.0000, 0.8404, 0.1596)  5 La 3.70-4.13, 8 Tm 3.76-3.78
La (0.0000, 0.1596, 0.8404)  5 La 3.70-4.13, 8 Tm 3.76-3.78
La (0.0000, 0.0000, 0.0000)  8 Tm 3.57, 2 La 3.70
La (0.0000, 0.7081, 0.7081)  4 Tb 3.33, 4 Tm 3.69, 2 La 3.70
La (0.0000, 0.2919, 0.2919)  4 Tb 3.33, 4 Tm 3.69, 2 La 3.70
Tb (0.5000, 0.5555, 0.7584)  6 La 3.33-3.44, 2 Tm 3.52-3.53, 2 Tb 3.70
Tb (0.5000, 0.4445, 0.2416)  6 La 3.33-3.44, 2 Tm 3.52-3.53, 2 Tb 3.70
Tb (0.5000, 0.7584, 0.5555)  6 La 3.33-3.44, 2 Tm 3.52-3.53, 2 Tb 3.70
Tb (0.5000, 0.2416, 0.4445)  6 La 3.33-3.44, 2 Tm 3.52-3.53, 2 Tb 3.70
Tm (0.5000, 0.6319, 0.1666)  3 Tm 3.44-3.70, 1 Tb 3.52, 8 La 3.58-3.77
Tm (0.5000, 0.3681, 0.8334)  3 Tm 3.44-3.70, 1 Tb 3.52, 8 La 3.58-3.77
Tm (0.5000, 0.1666, 0.6319)  3 Tm 3.44-3.70, 1 Tb 3.52, 8 La 3.58-3.77
Tm (0.5000, 0.8334, 0.3681)  3 Tm 3.44-3.70, 1 Tb 3.52, 8 La 3.58-3.77
Tm (0.5000, 0.7868, 0.9319)  1 Tb 3.53, 8 La 3.57-3.78, 3 Tm 3.70-3.75
Tm (0.5000, 0.2132, 0.0681)  1 Tb 3.53, 8 La 3.57-3.78, 3 Tm 3.70-3.75
Tm (0.5000, 0.9319, 0.7868)  1 Tb 3.53, 8 La 3.57-3.78, 3 Tm 3.70-3.75
Tm (0.5000, 0.0681, 0.2132)  1 Tb 3.53, 8 La 3.57-3.78, 3 Tm 3.70-3.75
Tm (0.5000, 0.5000, 0.5000)  2 Tm 3.70, 4 Tb 3.75, 8 La 3.88-4.01

Output
DFT formation energy = 70 meV/atom

=====

Material: La3TbTm2
Method: DFT, PBE-GGA
State: optimized geometry

Cell lengths 3.4815, 5.9926, 10.4495 Å; angles 106.66, 99.59, 90.00 degrees
With the nearest neighbours (Å) after each atom.
Fractional coordinates of all 6 atoms:
La (0.0000, 0.5000, 0.0000)  2 Tb 3.00, 4 Tm 3.22
La (0.8124, 0.8124, 0.6248)  5 Tm 3.45-3.60, 2 La 3.48, 1 Tb 3.70
La (0.1876, 0.1876, 0.3752)  5 Tm 3.45-3.60, 2 La 3.48, 1 Tb 3.70
Tb (0.0000, 0.0000, 0.0000)  2 La 3.00
Tm (0.6374, 0.6374, 0.2748)  7 La 3.22-3.60, 2 Tm 3.48
Tm (0.3626, 0.3626, 0.7252)  7 La 3.22-3.60, 2 Tm 3.48

Output
ΔE to the lowest computed polymorph = 0.239 eV per atom
DFT formation energy = 323 meV/atom

=====

Material: LaTb5Tm2
Method: DFT, PBE-GGA
State: optimized geometry

Cell lengths 7.2541, 7.2550, 6.7587 Å; angles 105.55, 105.56, 120.01 degrees
With the nearest neighbours (Å) after each atom.
Fractional coordinates of all 8 atoms:
La (0.8215, 0.7352, 0.0000)  10 Tb 3.54-3.65, 2 Tm 3.55
Tb (0.2369, 0.3197, 0.5004)  6 Tb 3.53-3.63, 2 La 3.54, 4 Tm 3.62-3.63
Tb (0.3186, 0.7353, 0.0000)  4 Tm 3.52-3.56, 6 Tb 3.54-3.65, 2 La 3.61-3.65
Tb (0.8201, 0.2368, 0.0001)  4 Tm 3.52-3.56, 6 Tb 3.54-3.64, 2 La 3.61-3.64
Tb (0.7365, 0.8192, 0.4996)  6 Tb 3.53-3.63, 2 La 3.54, 4 Tm 3.62-3.63
Tb (0.3181, 0.2377, 0.0001)  2 Tm 3.52, 8 Tb 3.53-3.65, 2 La 3.62-3.63
Tm (0.2383, 0.8222, 0.5051)  9 Tb 3.52-3.63, 1 La 3.55, 2 Tm 3.63
Tm (0.7332, 0.3168, 0.4948)  9 Tb 3.52-3.63, 1 La 3.55, 2 Tm 3.63

Output
DFT formation energy = 22 meV/atom

=====

Material: La8TbTm4
Method: DFT, PBE-GGA
State: optimized geometry

Cell lengths 7.1905, 7.1905, 10.8940 Å; angles 90.00, 109.27, 120.00 degrees
With the nearest neighbours (Å) after each atom.
Fractional coordinates of all 13 atoms:
La (0.5807, 0.7903, 0.3710)  9 La 3.70-3.96
La (0.4193, 0.2097, 0.6290)  9 La 3.70-3.96
La (0.4944, 0.2472, 0.2841)  1 Tb 3.13, 2 La 3.29, 1 Tm 3.43
La (0.9631, 0.2103, 0.7159)  1 Tb 3.13, 2 La 3.29, 1 Tm 3.43
La (0.5056, 0.7528, 0.7159)  1 Tb 3.13, 2 La 3.29, 1 Tm 3.43
La (0.9631, 0.7528, 0.7159)  1 Tb 3.13, 2 La 3.29, 1 Tm 3.43
La (0.0369, 0.2472, 0.2841)  1 Tb 3.13, 2 La 3.29, 1 Tm 3.43
La (0.0369, 0.7897, 0.2841)  1 Tb 3.13, 2 La 3.29, 1 Tm 3.43
Tb (0.0000, 0.5000, 0.5000)  6 La 3.13
Tm (0.0000, 0.0000, 0.0000)  6 La 3.43, 6 Tm 3.60
Tm (0.0000, 0.5000, 0.0000)  4 La 3.59, 6 Tm 3.60
Tm (0.5000, 0.5000, 0.0000)  4 La 3.59, 6 Tm 3.60
Tm (0.5000, 0.0000, 0.0000)  4 La 3.59, 6 Tm 3.60

Output
DFT formation energy = 167 meV/atom